HoErMg6: relaxed, PBE-GGA.

Structure (POSCAR):
```
HoErMg6
1.0
5.164 0.000 0.000
0.000 7.264 0.000
0.000 0.000 5.165
Ho Mg Er
1 6 1
Direct
0.500 0.500 0.255
0.000 0.500 0.746
0.000 0.750 0.245
0.500 0.250 0.755
0.500 0.000 0.254
0.000 0.250 0.245
0.500 0.750 0.755
0.000 0.000 0.745
```

Output
**Size of the total moment**: 0.0 μB per formula unit
**Volume**: 193.7 Å³ per cell
**ρ**: 4.10 Mg/m³
**Total DFT energy (no corrections)**: -18.89 eV/f.u.